Compound: UFe4Pt
Source: the Alexandria database
Functional: PBE
Structure: optimized geometry

Structure (POSCAR):
```
UFe4Pt
1.0
0.0000 3.5015 3.5015
3.5015 0.0000 3.5015
3.5015 3.5015 0.0000
U Fe Pt
1 4 1
Direct
0.0000 0.0000 0.0000
0.1277 0.6241 0.6241
0.6241 0.1277 0.6241
0.6241 0.6241 0.1277
0.6241 0.6241 0.6241
0.2500 0.2500 0.2500
```

Summary:
* formation enthalpy at 0 K: -0.127 eV/atom
* density: 12.7 g cm⁻³